Record 1
# Ac4Mg5Au2 (PBE, relaxed)
# Energy of formation   -0.29 eV/atom
data_Ac4Mg5Au2
_chemical_formula_sum 'Ac4 Mg5 Au2'
_symmetry_space_group_name_H-M 'P 1 2/m 1'
_symmetry_Int_Tables_number 10
_cell_length_a 8.189
_cell_length_b 4.082
_cell_length_c 10.509
_cell_angle_alpha 90.00
_cell_angle_beta 93.28
_cell_angle_gamma 90.00
loop_
_symmetry_equiv_pos_as_xyz
'x,y,z'
'-x,-y,-z'
'-x,y,-z'
'x,-y,z'
loop_
_atom_site_label
_atom_site_type_symbol
_atom_site_fract_x
_atom_site_fract_y
_atom_site_fract_z
_atom_site_occupancy
Ac1 Ac 0.164 0.000 0.368 1
Ac2 Ac 0.240 0.000 0.948 1
Mg1 Mg 0.197 0.500 0.661 1
Mg2 Mg 0.443 0.500 0.198 1
Mg3 Mg 0.500 0.500 0.500 1
Au1 Au 0.063 0.500 0.143 1

---

Record 2
# Sc2MnPd (PBE, relaxed)
# Energy of formation   -0.43 eV/atom
data_Sc2MnPd
_chemical_formula_sum 'Sc2 Mn1 Pd1'
_symmetry_space_group_name_H-M 'P 4/m m m'
_symmetry_Int_Tables_number 123
_symmetry_space_group_name_Hall '-P 4 2'
_cell_length_a 3.270
_cell_length_b 3.270
_cell_length_c 6.605
_cell_angle_alpha 90.00
_cell_angle_beta 90.00
_cell_angle_gamma 90.00
loop_
_atom_site_label
_atom_site_type_symbol
_atom_site_fract_x
_atom_site_fract_y
_atom_site_fract_z
_atom_site_occupancy
Sc1 Sc 0.000 0.000 0.245 1
Mn1 Mn 0.500 0.500 0.000 1
Pd1 Pd 0.500 0.500 0.500 1

---

Record 3
# Zr2InCl (PBE, relaxed)
# Relative energy among the computed polymorphs   414 meV per atom
# Raw formation energy   -170 meV/atom
data_Zr2InCl
_chemical_formula_sum 'Zr8 In4 Cl4'
_symmetry_space_group_name_H-M 'F m -3 m'
_symmetry_Int_Tables_number 225
_symmetry_space_group_name_Hall '-F 4 2 3'
_cell_length_a 6.998
_cell_length_b 6.998
_cell_length_c 6.998
_cell_angle_alpha 90.00
_cell_angle_beta 90.00
_cell_angle_gamma 90.00
loop_
_atom_site_label
_atom_site_type_symbol
_atom_site_fract_x
_atom_site_fract_y
_atom_site_fract_z
_atom_site_occupancy
Zr1 Zr 0.250 0.250 0.250 1
In1 In 0.000 0.000 0.000 1
Cl1 Cl 0.000 0.000 0.500 1

---

What is the formula in the third record? Zr2InCl

---

Repeat the first record exactly.
# Ac4Mg5Au2 (PBE, relaxed)
# Energy of formation   -0.29 eV/atom
data_Ac4Mg5Au2
_chemical_formula_sum 'Ac4 Mg5 Au2'
_symmetry_space_group_name_H-M 'P 1 2/m 1'
_symmetry_Int_Tables_number 10
_cell_length_a 8.189
_cell_length_b 4.082
_cell_length_c 10.509
_cell_angle_alpha 90.00
_cell_angle_beta 93.28
_cell_angle_gamma 90.00
loop_
_symmetry_equiv_pos_as_xyz
'x,y,z'
'-x,-y,-z'
'-x,y,-z'
'x,-y,z'
loop_
_atom_site_label
_atom_site_type_symbol
_atom_site_fract_x
_atom_site_fract_y
_atom_site_fract_z
_atom_site_occupancy
Ac1 Ac 0.164 0.000 0.368 1
Ac2 Ac 0.240 0.000 0.948 1
Mg1 Mg 0.197 0.500 0.661 1
Mg2 Mg 0.443 0.500 0.198 1
Mg3 Mg 0.500 0.500 0.500 1
Au1 Au 0.063 0.500 0.143 1